! GGA-PBE PmSmTm2, optimized geometry; values from VASP
&SYSTEM
  ibrav = 0, nat = 4, ntyp = 3
/
ATOMIC_SPECIES
Pm 145.00 Pm.upf
Sm 150.36 Sm.upf
Tm 168.93 Tm.upf
ATOMIC_POSITIONS crystal
Pm 0.000 0.000 0.000
Sm 0.500 0.500 0.500
Tm 0.250 0.250 0.250
Tm 0.750 0.750 0.750
CELL_PARAMETERS angstrom
0.000 4.015 4.015
4.015 0.000 4.015
4.015 4.015 0.000
! polymorph energy (0 for the lowest one): 0.36 eV per formula unit
! M_tot: 0.0 μB/cell
! energy relative to the elements: 0.106 eV/atom
! theoretical density: 8.12 g/cm3
! density of states at the Fermi level: 7.081 states/eV/f.u.
! space group: No. 225

! GGA-PBE TbHg2Rh, optimized geometry; values from VASP
&SYSTEM
  ibrav = 0, nat = 4, ntyp = 3
/
ATOMIC_SPECIES
Tb 158.93 Tb.upf
Hg 200.59 Hg.upf
Rh 102.91 Rh.upf
ATOMIC_POSITIONS crystal
Tb 0.000 0.000 0.000
Hg 0.000 0.500 0.500
Hg 0.500 0.000 0.500
Rh 0.500 0.500 0.000
CELL_PARAMETERS angstrom
4.158 0.000 0.000
0.000 4.158 0.000
0.000 0.000 4.927
! M_tot: 0.0 μB/cell
! energy relative to the elements: -0.291 eV/atom
! theoretical density: 12.92 g/cm3
! density of states at the Fermi level: 2.616 states/eV/f.u.
! space group: No. 123

! GGA-PBE MnSi2Te, optimized geometry; values from VASP
&SYSTEM
  ibrav = 0, nat = 4, ntyp = 3
/
ATOMIC_SPECIES
Mn 54.94 Mn.upf
Si 28.09 Si.upf
Te 127.60 Te.upf
ATOMIC_POSITIONS crystal
Mn 0.000 0.000 0.000
Si 0.263 0.263 0.895
Si 0.497 0.497 0.705
Te 0.784 0.784 0.281
CELL_PARAMETERS angstrom
3.758 -1.721 0.000
3.758 1.721 0.000
-2.267 0.000 5.657
! M_tot: 1.1 μB/cell
! theoretical density: 5.42 g/cm3
! density of states at the Fermi level: 1.919 states/eV/f.u.
! space group: No. 8
! ΔE_f (raw): 0.188 eV/atom

! GGA-PBE CsPmRuO6, optimized geometry; values from VASP
&SYSTEM
  ibrav = 0, nat = 9, ntyp = 4
/
ATOMIC_SPECIES
Cs 132.91 Cs.upf
Pm 145.00 Pm.upf
Ru 101.07 Ru.upf
O 16.00 O.upf
ATOMIC_POSITIONS crystal
Cs 0.000 0.000 0.000
Pm 0.333 0.667 0.500
Ru 0.667 0.333 0.500
O 0.418 0.055 0.671
O 0.418 0.363 0.329
O 0.637 0.055 0.329
O 0.637 0.582 0.671
O 0.945 0.363 0.671
O 0.945 0.582 0.329
CELL_PARAMETERS angstrom
5.783 0.000 0.000
-2.891 5.008 0.000
0.000 0.000 6.453
! M_tot: 0.0 μB/cell
! theoretical density: 4.22 g/cm3
! space group: No. 149
! ΔE_f (raw): -1.483 eV/atom

! GGA-PBE Ca2InAu4, optimized geometry; values from VASP
&SYSTEM
  ibrav = 0, nat = 7, ntyp = 3
/
ATOMIC_SPECIES
Ca 40.08 Ca.upf
In 114.82 In.upf
Au 196.97 Au.upf
ATOMIC_POSITIONS crystal
Ca 0.127 0.127 0.000
Ca 0.873 0.873 0.000
In 0.500 0.500 0.000
Au 0.000 0.500 0.500
Au 0.317 0.317 0.000
Au 0.500 0.000 0.500
Au 0.683 0.683 0.000
CELL_PARAMETERS angstrom
-2.586 2.586 7.637
2.586 -2.586 7.637
2.586 2.586 -7.637
! polymorph energy (0 for the lowest one): 2.06 eV per formula unit
! M_tot: 0.0 μB/cell
! energy relative to the elements: -0.263 eV/atom
! theoretical density: 7.99 g/cm3
! density of states at the Fermi level: 3.436 states/eV/f.u.
! space group: No. 139

! GGA-PBE Ho4Al2In5, optimized geometry; values from VASP
&SYSTEM
  ibrav = 0, nat = 11, ntyp = 3
/
ATOMIC_SPECIES
Ho 164.93 Ho.upf
Al 26.98 Al.upf
In 114.82 In.upf
ATOMIC_POSITIONS crystal
Ho 0.173 0.000 0.378
Ho 0.264 0.000 0.939
Ho 0.736 0.000 0.061
Ho 0.827 0.000 0.622
Al 0.062 0.500 0.129
Al 0.938 0.500 0.871
In 0.180 0.500 0.662
In 0.436 0.500 0.193
In 0.500 0.500 0.500
In 0.564 0.500 0.807
In 0.820 0.500 0.338
CELL_PARAMETERS angstrom
7.817 0.000 0.000
0.000 3.481 0.000
-0.733 0.000 9.932
! M_tot: 0.0 μB/cell
! energy relative to the elements: -0.410 eV/atom
! theoretical density: 7.91 g/cm3
! density of states at the Fermi level: 7.222 states/eV/f.u.
! space group: No. 10

! GGA-PBE SrP2W2, optimized geometry; values from VASP
&SYSTEM
  ibrav = 0, nat = 5, ntyp = 3
/
ATOMIC_SPECIES
Sr 87.62 Sr.upf
P 30.97 P.upf
W 183.84 W.upf
ATOMIC_POSITIONS crystal
Sr 0.000 0.000 0.000
P 0.250 0.750 0.500
P 0.750 0.250 0.500
W 0.367 0.367 0.000
W 0.633 0.633 0.000
CELL_PARAMETERS angstrom
-2.341 2.341 4.437
2.341 -2.341 4.437
2.341 2.341 -4.437
! polymorph energy (0 for the lowest one): 1.58 eV per formula unit
! M_tot: 0.0 μB/cell
! energy relative to the elements: -0.131 eV/atom
! theoretical density: 8.83 g/cm3
! density of states at the Fermi level: 4.746 states/eV/f.u.
! space group: No. 139

! GGA-PBE RbCaPt3, optimized geometry; values from VASP
&SYSTEM
  ibrav = 0, nat = 5, ntyp = 3
/
ATOMIC_SPECIES
Rb 85.47 Rb.upf
Ca 40.08 Ca.upf
Pt 195.08 Pt.upf
ATOMIC_POSITIONS crystal
Rb 0.000 0.000 0.000
Ca 0.500 0.500 0.500
Pt 0.000 0.500 0.500
Pt 0.500 0.000 0.500
Pt 0.500 0.500 0.000
CELL_PARAMETERS angstrom
5.241 0.000 0.000
0.000 5.241 0.000
0.000 0.000 5.241
! polymorph energy (0 for the lowest one): 0.00 eV per formula unit
! M_tot: 0.0 μB/cell
! energy relative to the elements: 0.710 eV/atom
! theoretical density: 8.20 g/cm3
! density of states at the Fermi level: 2.675 states/eV/f.u.
! space group: No. 221

! GGA-PBE CsPaBN3, optimized geometry; values from VASP
&SYSTEM
  ibrav = 0, nat = 12, ntyp = 4
/
ATOMIC_SPECIES
Cs 132.91 Cs.upf
Pa 231.04 Pa.upf
B 10.81 B.upf
N 14.01 N.upf
ATOMIC_POSITIONS crystal
Cs 0.333 0.667 0.250
Cs 0.667 0.333 0.750
Pa 0.000 0.000 0.000
Pa 0.000 0.000 0.500
B 0.333 0.667 0.750
B 0.667 0.333 0.250
N 0.180 0.359 0.750
N 0.180 0.820 0.750
N 0.359 0.180 0.250
N 0.641 0.820 0.750
N 0.820 0.180 0.250
N 0.820 0.641 0.250
CELL_PARAMETERS angstrom
5.729 0.000 0.000
-2.865 4.962 0.000
0.000 0.000 6.328
! M_tot: 0.0 μB/cell
! theoretical density: 7.69 g/cm3
! space group: No. 194
! ΔE_f (raw): -0.750 eV/atom

! GGA-PBE Ag3Te2Au, optimized geometry; values from VASP
&SYSTEM
  ibrav = 0, nat = 12, ntyp = 3
/
ATOMIC_SPECIES
Ag 107.87 Ag.upf
Te 127.60 Te.upf
Au 196.97 Au.upf
ATOMIC_POSITIONS crystal
Ag 0.039 0.750 0.289
Ag 0.250 0.250 0.000
Ag 0.461 0.750 0.711
Ag 0.539 0.250 0.289
Ag 0.750 0.750 0.000
Ag 0.961 0.250 0.711
Te 0.142 0.207 0.349
Te 0.358 0.707 0.065
Te 0.642 0.293 0.935
Te 0.858 0.793 0.651
Au 0.000 0.500 0.500
Au 0.500 0.000 0.500
CELL_PARAMETERS angstrom
-3.752 5.257 3.902
3.752 -5.257 3.902
3.752 5.257 -3.902
! polymorph energy (0 for the lowest one): 0.35 eV per formula unit
! M_tot: 0.0 μB/cell
! theoretical density: 8.37 g/cm3
! density of states at the Fermi level: 2.087 states/eV/f.u.
! space group: No. 72
! ΔE_f (raw): 0.001 eV/atom

! GGA-PBE Nd2AsSe, optimized geometry; values from VASP
&SYSTEM
  ibrav = 0, nat = 4, ntyp = 3
/
ATOMIC_SPECIES
Nd 144.24 Nd.upf
As 74.92 As.upf
Se 78.96 Se.upf
ATOMIC_POSITIONS crystal
Nd 0.246 0.246 0.246
Nd 0.754 0.754 0.754
As 0.500 0.500 0.500
Se 0.000 0.000 0.000
CELL_PARAMETERS angstrom
2.124 1.226 6.991
-2.124 1.226 6.991
0.000 -2.452 6.991
! polymorph energy (0 for the lowest one): 0.01 eV per formula unit
! M_tot: 0.0 μB/cell
! theoretical density: 6.73 g/cm3
! density of states at the Fermi level: 1.573 states/eV/f.u.
! space group: No. 166
! ΔE_f (raw): -1.734 eV/atom

! GGA-PBE Mn3GaFe7, optimized geometry; values from VASP
&SYSTEM
  ibrav = 0, nat = 22, ntyp = 3
/
ATOMIC_SPECIES
Mn 54.94 Mn.upf
Ga 69.72 Ga.upf
Fe 55.84 Fe.upf
ATOMIC_POSITIONS crystal
Mn 0.152 0.848 0.575
Mn 0.152 0.848 0.925
Mn 0.166 0.834 0.250
Mn 0.834 0.166 0.750
Mn 0.848 0.152 0.075
Mn 0.848 0.152 0.425
Ga 0.021 0.979 0.250
Ga 0.979 0.021 0.750
Fe 0.277 0.723 0.587
Fe 0.277 0.723 0.913
Fe 0.294 0.706 0.250
Fe 0.406 0.594 0.596
Fe 0.406 0.594 0.904
Fe 0.461 0.539 0.088
Fe 0.461 0.539 0.412
Fe 0.539 0.461 0.588
Fe 0.539 0.461 0.912
Fe 0.594 0.406 0.096
Fe 0.594 0.406 0.404
Fe 0.706 0.294 0.750
Fe 0.723 0.277 0.087
Fe 0.723 0.277 0.413
CELL_PARAMETERS angstrom
1.240 -9.496 0.000
1.240 9.496 0.000
0.000 0.000 11.229
! M_tot: 11.2 μB/cell
! energy relative to the elements: 0.222 eV/atom
! theoretical density: 7.86 g/cm3
! density of states at the Fermi level: 13.113 states/eV/f.u.
! space group: No. 63

! GGA-PBE Pa3GaTc5, optimized geometry; values from VASP
&SYSTEM
  ibrav = 0, nat = 18, ntyp = 3
/
ATOMIC_SPECIES
Pa 231.04 Pa.upf
Ga 69.72 Ga.upf
Tc 98.00 Tc.upf
ATOMIC_POSITIONS crystal
Pa 0.135 0.635 0.769
Pa 0.250 0.250 0.000
Pa 0.365 0.135 0.500
Pa 0.635 0.865 0.500
Pa 0.750 0.750 0.000
Pa 0.865 0.365 0.231
Ga 0.250 0.750 0.500
Ga 0.750 0.250 0.500
Tc 0.000 0.000 0.000
Tc 0.052 0.168 0.500
Tc 0.168 0.668 0.116
Tc 0.332 0.448 0.500
Tc 0.448 0.948 0.116
Tc 0.500 0.500 0.000
Tc 0.552 0.052 0.884
Tc 0.668 0.552 0.500
Tc 0.832 0.332 0.884
Tc 0.948 0.832 0.500
CELL_PARAMETERS angstrom
-4.155 4.155 5.117
4.155 -4.155 5.117
4.155 4.155 -5.117
! M_tot: 0.0 μB/cell
! energy relative to the elements: 0.161 eV/atom
! theoretical density: 11.78 g/cm3
! density of states at the Fermi level: 10.605 states/eV/f.u.
! space group: No. 140

! GGA-PBE LaAs2Os, optimized geometry; values from VASP
&SYSTEM
  ibrav = 0, nat = 4, ntyp = 3
/
ATOMIC_SPECIES
La 138.91 La.upf
As 74.92 As.upf
Os 190.23 Os.upf
ATOMIC_POSITIONS crystal
La 0.000 0.000 0.000
As 0.367 0.500 0.735
As 0.633 0.500 0.265
Os 0.500 0.000 0.500
CELL_PARAMETERS angstrom
4.528 0.000 0.000
0.000 4.149 0.000
-1.021 0.000 4.727
! polymorph energy (0 for the lowest one): 0.57 eV per formula unit
! M_tot: 0.0 μB/cell
! energy relative to the elements: -0.520 eV/atom
! theoretical density: 8.96 g/cm3
! density of states at the Fermi level: 2.850 states/eV/f.u.
! space group: No. 10

! GGA-PBE Mg3Cd3Ag5, optimized geometry; values from VASP
&SYSTEM
  ibrav = 0, nat = 11, ntyp = 3
/
ATOMIC_SPECIES
Mg 24.30 Mg.upf
Cd 112.41 Cd.upf
Ag 107.87 Ag.upf
ATOMIC_POSITIONS crystal
Mg 0.000 0.572 0.000
Mg 0.428 0.428 0.000
Mg 0.572 0.000 0.000
Cd 0.000 0.824 0.500
Cd 0.176 0.176 0.500
Cd 0.824 0.000 0.500
Ag 0.000 0.341 0.500
Ag 0.333 0.667 0.500
Ag 0.341 0.000 0.500
Ag 0.659 0.659 0.500
Ag 0.667 0.333 0.500
CELL_PARAMETERS angstrom
9.504 0.000 0.000
-4.752 8.231 0.000
0.000 0.000 3.071
! M_tot: 0.0 μB/cell
! energy relative to the elements: 0.102 eV/atom
! theoretical density: 6.56 g/cm3
! density of states at the Fermi level: 3.976 states/eV/f.u.
! space group: No. 189

! GGA-PBE LaIn2Os, optimized geometry; values from VASP
&SYSTEM
  ibrav = 0, nat = 4, ntyp = 3
/
ATOMIC_SPECIES
La 138.91 La.upf
In 114.82 In.upf
Os 190.23 Os.upf
ATOMIC_POSITIONS crystal
La 0.000 0.000 0.000
In 0.000 0.500 0.500
In 0.500 0.000 0.500
Os 0.500 0.500 0.000
CELL_PARAMETERS angstrom
2.896 -5.269 0.000
2.896 5.269 0.000
-0.800 0.000 3.015
! M_tot: 0.4 μB/cell
! energy relative to the elements: 0.355 eV/atom
! theoretical density: 10.08 g/cm3
! density of states at the Fermi level: 2.688 states/eV/f.u.
! space group: No. 12

! GGA-PBE PmPr5Sm2Dy, optimized geometry; values from VASP
&SYSTEM
  ibrav = 0, nat = 18, ntyp = 4
/
ATOMIC_SPECIES
Pm 145.00 Pm.upf
Pr 140.91 Pr.upf
Sm 150.36 Sm.upf
Dy 162.50 Dy.upf
ATOMIC_POSITIONS crystal
Pm 0.250 0.250 0.000
Pm 0.750 0.750 0.000
Pr 0.000 0.000 0.000
Pr 0.069 0.569 0.917
Pr 0.152 0.069 0.500
Pr 0.348 0.848 0.917
Pr 0.431 0.348 0.500
Pr 0.500 0.500 0.000
Pr 0.569 0.652 0.500
Pr 0.652 0.152 0.083
Pr 0.848 0.931 0.500
Pr 0.931 0.431 0.083
Sm 0.117 0.383 0.500
Sm 0.383 0.883 0.266
Sm 0.617 0.117 0.734
Sm 0.883 0.617 0.500
Dy 0.250 0.750 0.500
Dy 0.750 0.250 0.500
CELL_PARAMETERS angstrom
-4.465 4.465 7.997
4.465 -4.465 7.997
4.465 4.465 -7.997
! M_tot: 0.0 μB/cell
! energy relative to the elements: 0.280 eV/atom
! theoretical density: 6.84 g/cm3
! density of states at the Fermi level: 15.418 states/eV/f.u.
! space group: No. 140

! GGA-PBE Tb2Tm3Th, optimized geometry; values from VASP
&SYSTEM
  ibrav = 0, nat = 12, ntyp = 3
/
ATOMIC_SPECIES
Tb 158.93 Tb.upf
Tm 168.93 Tm.upf
Th 232.04 Th.upf
ATOMIC_POSITIONS crystal
Tb 0.002 0.002 0.373
Tb 0.003 0.003 0.128
Tb 0.997 0.997 0.872
Tb 0.998 0.998 0.627
Tm 0.330 0.330 0.457
Tm 0.333 0.333 0.209
Tm 0.333 0.333 0.958
Tm 0.667 0.667 0.042
Tm 0.667 0.667 0.791
Tm 0.670 0.670 0.543
Th 0.332 0.332 0.709
Th 0.668 0.668 0.291
CELL_PARAMETERS angstrom
5.585 -2.501 0.000
5.585 2.501 0.000
-4.441 0.000 13.400
! polymorph energy (0 for the lowest one): 0.00 eV per formula unit
! M_tot: 0.0 μB/cell
! energy relative to the elements: 0.035 eV/atom
! theoretical density: 9.38 g/cm3
! density of states at the Fermi level: 8.972 states/eV/f.u.
! space group: No. 12

! GGA-PBE TiAs2W, optimized geometry; values from VASP
&SYSTEM
  ibrav = 0, nat = 4, ntyp = 3
/
ATOMIC_SPECIES
Ti 47.87 Ti.upf
As 74.92 As.upf
W 183.84 W.upf
ATOMIC_POSITIONS crystal
Ti 0.000 0.000 0.000
As 0.250 0.250 0.250
As 0.750 0.750 0.750
W 0.500 0.500 0.500
CELL_PARAMETERS angstrom
0.000 3.153 3.153
3.153 0.000 3.153
3.153 3.153 0.000
! polymorph energy (0 for the lowest one): 0.00 eV per formula unit
! M_tot: 0.0 μB/cell
! energy relative to the elements: -0.234 eV/atom
! theoretical density: 10.10 g/cm3
! density of states at the Fermi level: 2.165 states/eV/f.u.
! space group: No. 225

! GGA-PBE SrAsRu2, optimized geometry; values from VASP
&SYSTEM
  ibrav = 0, nat = 4, ntyp = 3
/
ATOMIC_SPECIES
Sr 87.62 Sr.upf
As 74.92 As.upf
Ru 101.07 Ru.upf
ATOMIC_POSITIONS crystal
Sr 0.000 0.000 0.000
As 0.000 0.000 0.500
Ru 0.500 0.500 0.314
Ru 0.500 0.500 0.686
CELL_PARAMETERS angstrom
3.158 0.000 0.000
0.000 3.158 0.000
0.000 0.000 7.315
! M_tot: 0.0 μB/cell
! energy relative to the elements: 0.257 eV/atom
! theoretical density: 8.30 g/cm3
! density of states at the Fermi level: 5.418 states/eV/f.u.
! space group: No. 123